Record 1
# NdSnPd2 | Alexandria via LeMat-Bulk | PBE | relaxed
data_NdSnPd2
_chemical_formula_sum 'Nd1 Sn1 Pd2'
_symmetry_space_group_name_H-M 'P 4/m m m'
_symmetry_Int_Tables_number 123
_symmetry_space_group_name_Hall '-P 4 2'
_cell_length_a 4.769
_cell_length_b 4.769
_cell_length_c 3.717
_cell_angle_alpha 90.00
_cell_angle_beta 90.00
_cell_angle_gamma 90.00
loop_
_atom_site_label
_atom_site_fract_x
_atom_site_fract_y
_atom_site_fract_z
Nd1 0.000 0.000 0.000
Sn1 0.500 0.500 0.000
Pd1 0.000 0.500 0.500
# Total moment, μB per cell: 0.000
# Formation enthalpy at 0 K, eV per atom: -0.657

Record 2
# Nd3Sn3Pd2 | Alexandria via LeMat-Bulk | PBE | relaxed
data_Nd3Sn3Pd2
_chemical_formula_sum 'Nd12 Sn12 Pd8'
_symmetry_space_group_name_H-M 'P n m a'
_symmetry_Int_Tables_number 62
_symmetry_space_group_name_Hall '-P 2ac 2n'
_cell_length_a 8.559
_cell_length_b 15.691
_cell_length_c 6.100
_cell_angle_alpha 90.00
_cell_angle_beta 90.00
_cell_angle_gamma 90.00
loop_
_atom_site_label
_atom_site_fract_x
_atom_site_fract_y
_atom_site_fract_z
Nd1 0.033 0.110 0.126
Nd2 0.174 0.250 0.631
Sn1 0.182 0.750 0.620
Sn2 0.195 0.038 0.607
Pd1 0.091 0.609 0.377
# Total moment, μB per cell: 0.000
# Formation enthalpy at 0 K, eV per atom: -0.838